[1]
# Li5Zn2Cd6

An optimized crystal structure of Li5Zn2Cd6 (PBE-GGA, Alexandria via LeMat-Bulk).

Values from the calculation:
D(E_F) ... 0.266 states/eV per atom
Energy ... -0.1098 Ry per atom

Cell lengths 3.024, 9.635, 16.957 Å; angles 90.00, 90.00, 90.00 degrees
Positions (direct):
Cd  0.000  0.406  0.873
Cd  0.500  0.822  0.361
Li  0.500  0.689  0.552
Cd  0.000  0.906  0.627
Cd  0.500  0.322  0.139
Cd  0.000  0.940  0.916
Li  0.500  0.311  0.448
Zn  0.000  0.841  0.208
Cd  0.000  0.060  0.084
Zn  0.000  0.341  0.292
Cd  0.500  0.678  0.861
Li  0.500  0.581  0.269
Li  0.500  0.189  0.948
Cd  0.000  0.094  0.373
Cd  0.000  0.594  0.127
Cd  0.000  0.440  0.584
Li  0.500  0.419  0.731
Li  0.500  0.919  0.769
Zn  0.000  0.659  0.708
Li  0.500  0.000  0.500
Zn  0.000  0.159  0.792
Li  0.500  0.081  0.231
Cd  0.000  0.560  0.416
Li  0.500  0.811  0.052
Li  0.500  0.500  0.000
Cd  0.500  0.178  0.639

[2]
# Li2Zn2Cd

An optimized crystal structure of Li2Zn2Cd (PBE-GGA, Alexandria via LeMat-Bulk).

Values from the calculation:
D(E_F) ... 0.339 states/eV per atom
Energy ... -0.1063 Ry per atom

Cell lengths 3.864, 3.864, 6.804 Å; angles 73.51, 73.51, 90.00 degrees
Positions (direct):
Li  0.750  0.250  0.500
Zn  0.601  0.601  0.798
Li  0.250  0.750  0.500
Cd  0.000  0.000  0.000
Zn  0.399  0.399  0.202

[3]
# Li2ZnCd2

An optimized crystal structure of Li2ZnCd2 (PBE-GGA, Alexandria via LeMat-Bulk).

Values from the calculation:
D(E_F) ... 0.372 states/eV per atom
Energy ... -0.1148 Ry per atom

Cell lengths 5.223, 5.611, 10.954 Å; angles 40.29, 76.21, 62.26 degrees
Positions (direct):
Li  0.439  0.859  0.949
Cd  0.647  0.042  0.349
Cd  0.962  0.542  0.849
Cd  0.038  0.458  0.151
Zn  0.166  0.750  0.250
Li  0.561  0.141  0.051
Zn  0.834  0.250  0.750
Cd  0.353  0.958  0.651
Li  0.247  0.641  0.551
Li  0.753  0.359  0.449

[4]
# Li2Zn2Cd

An optimized crystal structure of Li2Zn2Cd (PBE-GGA, Alexandria via LeMat-Bulk).

Values from the calculation:
D(E_F) ... 0.273 states/eV per atom
Energy ... -0.1153 Ry per atom

Cell lengths 4.439, 5.580, 7.303 Å; angles 105.94, 107.69, 90.00 degrees
Positions (direct):
Cd  0.000  0.750  0.000
Zn  0.611  0.640  0.222
Li  0.202  0.526  0.404
Li  0.798  0.974  0.596
Li  0.798  0.474  0.596
Zn  0.389  0.360  0.778
Zn  0.611  0.140  0.222
Cd  0.000  0.250  0.000
Li  0.202  0.026  0.404
Zn  0.389  0.860  0.778

[5]
# Li3Zn2Cd4

An optimized crystal structure of Li3Zn2Cd4 (PBE-GGA, Alexandria via LeMat-Bulk).

Values from the calculation:
D(E_F) ... 0.239 states/eV per atom
Energy ... -0.1093 Ry per atom

Cell lengths 4.811, 4.598, 8.561 Å; angles 94.72, 90.00, 121.55 degrees
Positions (direct):
Li  0.348  0.695  0.231
Zn  0.670  0.341  0.444
Cd  0.016  0.033  0.326
Cd  0.674  0.348  0.106
Li  0.000  0.000  0.000
Cd  0.984  0.967  0.674
Zn  0.330  0.659  0.556
Li  0.652  0.305  0.769
Cd  0.326  0.652  0.894

[6]
# Li5Zn2Cd5

An optimized crystal structure of Li5Zn2Cd5 (PBE-GGA, Alexandria via LeMat-Bulk).

Values from the calculation:
D(E_F) ... 0.248 states/eV per atom
Energy ... -0.1170 Ry per atom

Cell lengths 4.649, 5.512, 9.705 Å; angles 74.89, 76.14, 65.06 degrees
Positions (direct):
Cd  0.159  0.184  0.498
Cd  0.841  0.816  0.502
Li  0.500  0.500  0.500
Li  0.322  0.350  0.006
Li  0.678  0.650  0.994
Cd  0.740  0.273  0.248
Zn  0.918  0.409  0.756
Zn  0.082  0.591  0.244
Li  0.425  0.908  0.243
Li  0.575  0.092  0.757
Cd  0.260  0.727  0.752
Cd  0.000  0.000  0.000

[7]
# Li2ZnCd3

An optimized crystal structure of Li2ZnCd3 (PBE-GGA, Alexandria via LeMat-Bulk).

Values from the calculation:
D(E_F) ... 0.310 states/eV per atom
Energy ... -0.1075 Ry per atom

Cell lengths 2.986, 4.740, 8.365 Å; angles 90.00, 90.00, 90.00 degrees
Positions (direct):
Cd  0.500  0.000  0.179
Li  0.000  0.500  0.010
Zn  0.500  0.500  0.330
Li  0.000  0.000  0.493
Cd  0.500  0.500  0.650
Cd  0.500  0.000  0.837

[8]
# Li6Zn2Cd

An optimized crystal structure of Li6Zn2Cd (PBE-GGA, Alexandria via LeMat-Bulk).

Values from the calculation:
D(E_F) ... 0.338 states/eV per atom
Energy ... -0.1324 Ry per atom

Cell lengths 2.714, 7.953, 7.953 Å; angles 60.00, 89.11, 89.11 degrees
Positions (direct):
Li  0.500  0.338  0.662
Zn  0.000  0.334  0.334
Cd  0.000  0.000  0.000
Li  0.459  0.338  0.000
Li  0.541  0.000  0.662
Li  0.541  0.662  0.000
Zn  0.000  0.666  0.666
Li  0.500  0.662  0.338
Li  0.459  0.000  0.338

Question: Which of these has the highest energy?
Answer: number 2

Question: The lowest D(E_F) belongs to which entry?
Answer: Li3Zn2Cd4

Question: Look up the energy of the fifth one.
Answer: -0.1093 Ry per atom

Repeat the fifth record exactly.
# Li3Zn2Cd4

An optimized crystal structure of Li3Zn2Cd4 (PBE-GGA, Alexandria via LeMat-Bulk).

Values from the calculation:
D(E_F) ... 0.239 states/eV per atom
Energy ... -0.1093 Ry per atom

Cell lengths 4.811, 4.598, 8.561 Å; angles 94.72, 90.00, 121.55 degrees
Positions (direct):
Li  0.348  0.695  0.231
Zn  0.670  0.341  0.444
Cd  0.016  0.033  0.326
Cd  0.674  0.348  0.106
Li  0.000  0.000  0.000
Cd  0.984  0.967  0.674
Zn  0.330  0.659  0.556
Li  0.652  0.305  0.769
Cd  0.326  0.652  0.894